LaAlRe2: relaxed, PBE-GGA.

abc: 5.399 4.334 4.945
angles: 116.05 123.14 89.90
Positions (direct):
Re1 0.235 0.735 0.470
Re2 0.065 0.065 0.131
Al1 0.456 0.456 0.912
La1 0.744 0.244 0.487

Computed properties:
As for the space-group type: Imm2 (44).

BaLiFe2Ru: relaxed, PBE-GGA.

abc: 4.315 5.093 4.315
angles: 90.00 90.00 90.00
Positions (direct):
Fe1 0.000 0.000 0.500
Ba1 0.000 0.500 0.000
Ru1 0.500 0.500 0.500
Fe2 0.500 0.000 0.000
Li1 0.000 0.000 0.000

Computed properties:
As for the space-group type: P4/mmm (123).

CaDyTlZn: relaxed, PBE-GGA.

abc: 3.693 3.693 7.620
angles: 90.00 90.00 90.00
Positions (direct):
Zn1 0.500 0.500 0.621
Ca1 0.000 0.000 0.373
Tl1 0.500 0.500 0.099
Dy1 0.000 0.000 0.835

Computed properties:
As for the space-group type: P4mm (99). The energy relative to the lowest polymorph listed for this composition is 0.000 eV per atom.

K2HgPb: relaxed, PBE-GGA.

abc: 3.631 5.541 7.341
angles: 90.00 90.00 90.00
Positions (direct):
Pb1 0.000 0.000 0.492
Hg1 0.500 0.500 0.764
K1 0.500 0.500 0.289
K2 0.000 0.000 0.955

Computed properties:
As for the space-group type: Pmm2 (25).

Volume per entry: 82.6; 94.8; 103.9; 147.7 Å³/cell
E_tot per entry: -8.032; -4.566; -2.909; -1.611 eV/atom